YTaSCl2: relaxed, PBE.

```
YTaSCl2
1.0
5.1507 0.0000 0.0000
0.0000 5.1507 0.0000
0.0000 0.0000 5.4216
Y Ta S Cl
1 1 1 2
direct
0.0000 0.0000 0.0000 Y
0.5000 0.5000 0.5000 Ta
0.0000 0.0000 0.5000 S
0.0000 0.5000 0.0000 Cl
0.5000 0.0000 0.0000 Cl
```

Values from the calculation:
Energy relative to the elements, uncorrected, meV/atom: -157
Volume, Å³/atom: 28.8
Distance to the lowest polymorph of the same formula, eV/f.u.: 1.41
Magnetic moment, μB/atom: 0.796
Raw total energy, eV per atom: -5.384

---

YTaS2Cl: relaxed, PBE.

```
YTaS2Cl
1.0
5.2459 0.0000 0.0000
0.0000 5.2459 0.0000
0.0000 0.0000 4.9638
Y Ta S Cl
1 1 2 1
direct
0.0000 0.0000 0.0000 Y
0.5000 0.5000 0.5000 Ta
0.0000 0.5000 0.0000 S
0.5000 0.0000 0.0000 S
0.0000 0.0000 0.5000 Cl
```

Values from the calculation:
Energy relative to the elements, uncorrected, meV/atom: 20
Volume, Å³/atom: 27.3
Distance to the lowest polymorph of the same formula, eV/f.u.: 3.55
Magnetic moment, μB/atom: 0.599
Raw total energy, eV per atom: -5.664

---

TaZnSCl2: relaxed, PBE.

```
TaZnSCl2
1.0
4.9238 0.0000 0.0000
0.0000 4.9238 0.0000
0.0000 0.0000 4.7657
Ta Zn S Cl
1 1 1 2
direct
0.0000 0.0000 0.0000 Ta
0.5000 0.5000 0.5000 Zn
0.0000 0.0000 0.5000 S
0.0000 0.5000 0.0000 Cl
0.5000 0.0000 0.0000 Cl
```

Values from the calculation:
Energy relative to the elements, uncorrected, meV/atom: -416
Volume, Å³/atom: 23.1
Distance to the lowest polymorph of the same formula, eV/f.u.: 0.00
Magnetic moment, μB/atom: 0.000
Raw total energy, eV per atom: -4.606

---

TaZnSCl2: relaxed, PBE.

```
TaZnSCl2
1.0
4.5860 0.0000 0.0000
0.0000 4.5860 0.0000
0.0000 0.0000 4.9845
Ta Zn S Cl
1 1 1 2
direct
0.0000 0.0000 0.0000 Ta
0.5000 0.5000 0.5000 Zn
0.5000 0.5000 0.0000 S
0.0000 0.5000 0.5000 Cl
0.5000 0.0000 0.5000 Cl
```

Values from the calculation:
Energy relative to the elements, uncorrected, meV/atom: 456
Volume, Å³/atom: 21.0
Distance to the lowest polymorph of the same formula, eV/f.u.: 4.36
Magnetic moment, μB/atom: 0.588
Raw total energy, eV per atom: -3.734

---

Zr2TaS2Cl4: relaxed, PBE.

```
Zr2TaS2Cl4
1.0
3.3859 0.0000 0.0000
-1.6929 2.9323 0.0000
0.0000 0.0000 21.3424
Zr Ta S Cl
2 1 2 4
direct
0.0000 0.0000 0.0000 Zr
0.3333 0.6667 0.3381 Zr
0.3333 0.6667 0.6775 Ta
0.0000 0.0000 0.6050 S
0.0000 0.0000 0.7501 S
0.0000 0.0000 0.2567 Cl
0.0000 0.0000 0.4190 Cl
0.3333 0.6667 0.0814 Cl
0.3333 0.6667 0.9192 Cl
```

Values from the calculation:
Energy relative to the elements, uncorrected, meV/atom: -1456
Volume, Å³/atom: 23.5
Magnetic moment, μB/atom: 0.000
Raw total energy, eV per atom: -6.410

---

TbS6Cl2: relaxed, PBE.

```
TbS6Cl2
1.0
4.0926 0.0000 0.0000
-0.0704 8.0112 0.0000
-0.5470 -3.6585 8.4139
Tb S Cl
1 6 2
direct
0.0000 0.0000 0.0000 Tb
0.1000 0.7241 0.4550 S
0.1116 0.4935 0.7161 S
0.1141 0.2817 0.2989 S
0.8859 0.7183 0.7011 S
0.8884 0.5065 0.2839 S
0.9000 0.2759 0.5450 S
0.4953 0.1531 0.9064 Cl
0.5047 0.8469 0.0936 Cl
```

Values from the calculation:
Energy relative to the elements, uncorrected, meV/atom: -651
Volume, Å³/atom: 30.7
Magnetic moment, μB/atom: 0.107
Raw total energy, eV per atom: -4.327

---

Tb4S5Cl: relaxed, PBE.

```
Tb4S5Cl
1.0
8.4020 0.0000 0.0000
0.0000 9.4548 0.0000
0.0000 0.0000 6.7348
Tb S Cl
8 10 2
direct
0.0280 0.2500 0.0347 Tb
0.2500 0.0105 0.5148 Tb
0.2500 0.4895 0.5148 Tb
0.4720 0.2500 0.0347 Tb
0.5280 0.7500 0.9653 Tb
0.7500 0.5105 0.4852 Tb
0.7500 0.9895 0.4852 Tb
0.9720 0.7500 0.9653 Tb
0.0102 0.5489 0.2442 S
0.0102 0.9511 0.2442 S
0.2500 0.2500 0.3197 S
0.4898 0.5489 0.2442 S
0.4898 0.9511 0.2442 S
0.5102 0.0489 0.7558 S
0.5102 0.4511 0.7558 S
0.7500 0.7500 0.6803 S
0.9898 0.0489 0.7558 S
0.9898 0.4511 0.7558 S
0.2500 0.7500 0.7225 Cl
0.7500 0.2500 0.2775 Cl
```

Values from the calculation:
Energy relative to the elements, uncorrected, meV/atom: -1871
Volume, Å³/atom: 26.8
Magnetic moment, μB/atom: 0.100
Raw total energy, eV per atom: -5.972

---

Tb3S4Cl: relaxed, PBE.

```
Tb3S4Cl
1.0
6.9442 -3.4778 0.0000
6.9442 3.4778 0.0000
-3.5542 0.0000 9.0617
Tb S Cl
6 8 2
direct
0.0059 0.9941 0.5000 Tb
0.3558 0.3798 0.2825 Tb
0.3798 0.3558 0.7825 Tb
0.5962 0.6120 0.7000 Tb
0.6120 0.5962 0.2000 Tb
0.9941 0.0059 0.0000 Tb
0.0194 0.3430 0.1464 S
0.1814 0.7889 0.2403 S
0.2403 0.5767 0.5544 S
0.3430 0.0194 0.6464 S
0.4028 0.7266 0.9349 S
0.5767 0.2403 0.0544 S
0.7266 0.4028 0.4349 S
0.7889 0.1814 0.7403 S
0.6416 0.9531 0.3417 Cl
0.9531 0.6416 0.8417 Cl
```

Values from the calculation:
Energy relative to the elements, uncorrected, meV/atom: -2064
Volume, Å³/atom: 27.4
Magnetic moment, μB/atom: 0.000
Raw total energy, eV per atom: -6.095

---

Tb2S2Cl: relaxed, PBE.

```
Tb2S2Cl
1.0
4.9514 0.0000 0.0000
0.0088 6.9848 0.0000
2.4749 0.6830 7.0731
Tb S Cl
4 4 2
direct
0.1155 0.0160 0.1837 Tb
0.2013 0.5159 0.1837 Tb
0.7987 0.4841 0.8163 Tb
0.8845 0.9840 0.8163 Tb
0.2631 0.3142 0.8677 S
0.3692 0.8142 0.8677 S
0.6308 0.1858 0.1323 S
0.7369 0.6858 0.1323 S
0.0620 0.7500 0.5000 Cl
0.9380 0.2500 0.5000 Cl
```

Values from the calculation:
Energy relative to the elements, uncorrected, meV/atom: -1832
Volume, Å³/atom: 24.5
Distance to the lowest polymorph of the same formula, eV/f.u.: 1.20
Magnetic moment, μB/atom: 0.000
Raw total energy, eV per atom: -5.705

---

Tb3SCl3: relaxed, PBE.

```
Tb3SCl3
1.0
3.3553 1.9372 10.0880
-3.3553 1.9372 10.0880
0.0000 -3.8744 10.0880
Tb S Cl
6 2 6
direct
0.1092 0.4506 0.7919 Tb
0.2081 0.8908 0.5494 Tb
0.4506 0.7919 0.1092 Tb
0.5494 0.2081 0.8908 Tb
0.7919 0.1092 0.4506 Tb
0.8908 0.5494 0.2081 Tb
0.1667 0.1667 0.1667 S
0.8333 0.8333 0.8333 S
0.0676 0.7233 0.3953 Cl
0.2767 0.6047 0.9324 Cl
0.3953 0.0676 0.7233 Cl
0.6047 0.9324 0.2767 Cl
0.7233 0.3953 0.0676 Cl
0.9324 0.2767 0.6047 Cl
```

Values from the calculation:
Energy relative to the elements, uncorrected, meV/atom: -1876
Volume, Å³/atom: 28.1
Magnetic moment, μB/atom: 0.000
Raw total energy, eV per atom: -5.242

---

TbS5Cl: relaxed, PBE.

```
TbS5Cl
1.0
2.8600 -11.5167 0.0000
2.8600 11.5167 0.0000
-2.5379 0.0000 3.3129
Tb S Cl
1 5 1
direct
0.0000 0.0000 0.0000 Tb
0.0430 0.5740 0.4753 S
0.1744 0.2950 0.6831 S
0.4260 0.9570 0.5247 S
0.7050 0.8256 0.3169 S
0.7895 0.2105 0.0000 S
0.5663 0.4337 0.5000 Cl
```

Values from the calculation:
Energy relative to the elements, uncorrected, meV/atom: -733
Volume, Å³/atom: 31.2
Magnetic moment, μB/atom: 0.000
Raw total energy, eV per atom: -4.606

---

Tb2SCl3: relaxed, PBE.

```
Tb2SCl3
1.0
7.8963 -2.0848 0.0000
7.8963 2.0848 0.0000
-6.4143 0.0000 10.0970
Tb S Cl
4 2 6
direct
0.1021 0.1021 0.4483 Tb
0.3714 0.3714 0.1725 Tb
0.6286 0.6286 0.8275 Tb
0.8979 0.8979 0.5517 Tb
0.1085 0.1085 0.6817 S
0.8915 0.8915 0.3183 S
0.1631 0.1631 0.0145 Cl
0.2679 0.2679 0.4046 Cl
0.4358 0.4358 0.7377 Cl
0.5642 0.5642 0.2623 Cl
0.7321 0.7321 0.5954 Cl
0.8369 0.8369 0.9855 Cl
```

Values from the calculation:
Energy relative to the elements, uncorrected, meV/atom: -2049
Volume, Å³/atom: 27.7
Magnetic moment, μB/atom: 0.000
Raw total energy, eV per atom: -5.203

---

Tb2S2Cl: relaxed, PBE.

```
Tb2S2Cl
1.0
6.2481 -2.7324 0.0000
6.2481 2.7324 0.0000
-2.7149 0.0000 7.5413
Tb S Cl
4 4 2
direct
0.0085 0.0085 0.2448 Tb
0.3359 0.3359 0.9257 Tb
0.6641 0.6641 0.0743 Tb
0.9915 0.9915 0.7552 Tb
0.1666 0.1666 0.0801 S
0.4927 0.4927 0.7547 S
0.5073 0.5073 0.2453 S
0.8334 0.8334 0.9199 S
0.1569 0.1569 0.5938 Cl
0.8431 0.8431 0.4062 Cl
```

Values from the calculation:
Energy relative to the elements, uncorrected, meV/atom: -2073
Volume, Å³/atom: 25.7
Distance to the lowest polymorph of the same formula, eV/f.u.: 0.00
Magnetic moment, μB/atom: 0.000
Raw total energy, eV per atom: -5.945

---

TcSCl: relaxed, PBE.

```
TcSCl
1.0
3.4627 0.0000 0.0000
-0.0199 6.7055 0.0000
-1.6362 -1.5738 7.1722
Tc S Cl
2 2 2
direct
0.1958 0.0615 0.3848 Tc
0.8042 0.9385 0.6152 Tc
0.3455 0.1644 0.6999 S
0.6545 0.8356 0.3001 S
0.1128 0.3007 0.2093 Cl
0.8872 0.6993 0.7907 Cl
```

Values from the calculation:
Energy relative to the elements, uncorrected, meV/atom: -503
Volume, Å³/atom: 27.8
Distance to the lowest polymorph of the same formula, eV/f.u.: 0.07
Magnetic moment, μB/atom: 0.000
Raw total energy, eV per atom: -5.949

---

Tc2SCl: relaxed, PBE.

```
Tc2SCl
1.0
-2.6265 2.6265 5.3395
2.6265 -2.6265 5.3395
2.6265 2.6265 -5.3395
Tc S Cl
4 2 2
direct
0.1047 0.6250 0.9797 Tc
0.3750 0.3547 0.4797 Tc
0.6453 0.1250 0.0203 Tc
0.8750 0.8953 0.5203 Tc
0.0000 0.0000 0.0000 S
0.7500 0.2500 0.5000 S
0.2500 0.7500 0.5000 Cl
0.5000 0.5000 0.0000 Cl
```

Values from the calculation:
Energy relative to the elements, uncorrected, meV/atom: 334
Volume, Å³/atom: 18.4
Distance to the lowest polymorph of the same formula, eV/f.u.: 0.00
Magnetic moment, μB/atom: 0.000
Raw total energy, eV per atom: -6.342

---

TcS2Cl8: relaxed, PBE.

```
TcS2Cl8
1.0
7.5838 -3.9109 0.0000
7.5838 3.9109 0.0000
-0.5538 0.0000 6.6604
Tc S Cl
1 2 8
direct
0.0000 0.0000 0.0000 Tc
0.2786 0.2786 0.6766 S
0.7214 0.7214 0.3234 S
0.1165 0.6998 0.1138 Cl
0.2250 0.2250 0.3914 Cl
0.3002 0.8835 0.8862 Cl
0.4094 0.4094 0.6544 Cl
0.5906 0.5906 0.3456 Cl
0.6998 0.1165 0.1138 Cl
0.7750 0.7750 0.6086 Cl
0.8835 0.3002 0.8862 Cl
```

Values from the calculation:
Energy relative to the elements, uncorrected, meV/atom: -211
Volume, Å³/atom: 35.9
Magnetic moment, μB/atom: 0.373
Raw total energy, eV per atom: -3.247

---

TcS3Cl: relaxed, PBE.

```
TcS3Cl
1.0
4.6161 0.0000 0.0000
0.0000 4.6161 0.0000
0.0000 0.0000 4.6161
Tc S Cl
1 3 1
direct
0.0000 0.0000 0.0000 Tc
0.0000 0.0000 0.5000 S
0.0000 0.5000 0.0000 S
0.5000 0.0000 0.0000 S
0.5000 0.5000 0.5000 Cl
```

Values from the calculation:
Energy relative to the elements, uncorrected, meV/atom: 303
Volume, Å³/atom: 19.7
Distance to the lowest polymorph of the same formula, eV/f.u.: 0.00
Magnetic moment, μB/atom: 0.000
Raw total energy, eV per atom: -4.616

---

TcSCl: relaxed, PBE.

```
TcSCl
1.0
6.1023 -1.5482 0.0000
6.1023 1.5482 0.0000
-0.2600 0.0000 7.7494
Tc S Cl
2 2 2
direct
0.1780 0.1780 0.3997 Tc
0.8220 0.8220 0.6003 Tc
0.3658 0.3658 0.3905 S
0.6342 0.6342 0.6095 S
0.3742 0.3742 0.8339 Cl
0.6258 0.6258 0.1661 Cl
```

Values from the calculation:
Energy relative to the elements, uncorrected, meV/atom: -526
Volume, Å³/atom: 24.4
Distance to the lowest polymorph of the same formula, eV/f.u.: 0.00
Magnetic moment, μB/atom: 0.000
Raw total energy, eV per atom: -5.973

---

TcS3Cl: relaxed, PBE.

```
TcS3Cl
1.0
4.6402 0.0000 0.0000
0.0000 4.6402 0.0000
0.0000 0.0000 4.6402
Tc S Cl
1 3 1
direct
0.0000 0.0000 0.0000 Tc
0.0000 0.5000 0.5000 S
0.5000 0.0000 0.5000 S
0.5000 0.5000 0.0000 S
0.5000 0.5000 0.5000 Cl
```

Values from the calculation:
Energy relative to the elements, uncorrected, meV/atom: 1462
Volume, Å³/atom: 20.0
Distance to the lowest polymorph of the same formula, eV/f.u.: 5.80
Magnetic moment, μB/atom: 0.849
Raw total energy, eV per atom: -3.457

---

TcS2Cl5: relaxed, PBE.

```
TcS2Cl5
1.0
6.4009 0.0000 0.0000
2.2804 6.6420 0.0000
2.5977 0.3565 6.8854
Tc S Cl
1 2 5
direct
0.0000 0.0000 0.0000 Tc
0.3375 0.4508 0.7234 S
0.5791 0.4922 0.5025 S
0.2405 0.0593 0.6877 Cl
0.2583 0.6600 0.9934 Cl
0.7335 0.9249 0.9187 Cl
0.8375 0.3396 0.0352 Cl
0.8824 0.9399 0.3317 Cl
```

Values from the calculation:
Energy relative to the elements, uncorrected, meV/atom: -310
Volume, Å³/atom: 36.6
Magnetic moment, μB/atom: 0.500
Raw total energy, eV per atom: -3.792